(1)
# La2EuTl (PBE, optimized geometry)
# Formation energy (eV per atom): -0.13
# Polymorph energy (0 for the lowest one) (eV/f.u.): 0.27
# Total moment (μB per formula unit): 7.68
# Crystal system: cubic
data_La2EuTl
_chemical_formula_sum 'La8 Eu4 Tl4'
_symmetry_space_group_name_H-M 'F m -3 m'
_symmetry_Int_Tables_number 225
_symmetry_space_group_name_Hall '-F 4 2 3'
_cell_length_a 8.1137
_cell_length_b 8.1137
_cell_length_c 8.1137
_cell_angle_alpha 90.00
_cell_angle_beta 90.00
_cell_angle_gamma 90.00
loop_
_atom_site_label
_atom_site_type_symbol
_atom_site_fract_x
_atom_site_fract_y
_atom_site_fract_z
La1 La 0.2500 0.2500 0.2500
Eu1 Eu 0.0000 0.0000 0.0000
Tl1 Tl 0.0000 0.0000 0.5000

---

(2)
# SmTmPu4 (PBE, optimized geometry)
# Formation energy (eV per atom): 0.23
# Total moment (μB per formula unit): 22.64
# Crystal system: cubic
data_SmTmPu4
_chemical_formula_sum 'Sm4 Tm4 Pu16'
_symmetry_space_group_name_H-M 'F -4 3 m'
_symmetry_Int_Tables_number 216
_symmetry_space_group_name_Hall 'F -4 2 3'
_cell_length_a 8.7237
_cell_length_b 8.7237
_cell_length_c 8.7237
_cell_angle_alpha 90.00
_cell_angle_beta 90.00
_cell_angle_gamma 90.00
loop_
_atom_site_label
_atom_site_type_symbol
_atom_site_fract_x
_atom_site_fract_y
_atom_site_fract_z
Sm1 Sm 0.0000 0.0000 0.0000
Tm1 Tm 0.2500 0.2500 0.2500
Pu1 Pu 0.1249 0.1249 0.6249

---

(3)
# Er4TeCSe2 (PBE, optimized geometry)
# Formation energy without anion corrections (eV/atom): -1.2768
# Total moment (μB per formula unit): 0.00
# Crystal system: monoclinic
data_Er4TeCSe2
_chemical_formula_sum 'Er4 Te1 C1 Se2'
_symmetry_space_group_name_H-M 'P 1 2/m 1'
_symmetry_Int_Tables_number 10
_cell_length_a 6.9200
_cell_length_b 3.9295
_cell_length_c 7.1990
_cell_angle_alpha 90.00
_cell_angle_beta 109.43
_cell_angle_gamma 90.00
loop_
_symmetry_equiv_pos_as_xyz
'x,y,z'
'-x,-y,-z'
'-x,y,-z'
'x,-y,z'
loop_
_atom_site_label
_atom_site_type_symbol
_atom_site_fract_x
_atom_site_fract_y
_atom_site_fract_z
Er1 Er 0.2150 0.0000 0.2050
Er2 Er 0.2280 0.5000 0.7992
Te1 Te 0.0000 0.0000 0.5000
C1 C 0.0000 0.5000 0.0000
Se1 Se 0.5000 0.0000 0.0000
Se2 Se 0.5000 0.5000 0.5000